Record 1
CsErTm (PBE-GGA, optimized geometry); offset from the most stable computed form = 0 meV/atom; uncorrected energy = -2.00 eV per atom; SG = No. 216
1.0
0.0000 4.1774 4.1774
4.1774 0.0000 4.1774
4.1774 4.1774 0.0000
Cs Er Tm
1 1 1
Cartesian
0.0000 0.0000 0.0000
4.1774 4.1774 4.1774
2.0887 2.0887 2.0887



Record 2
YInAg2 (PBE-GGA, optimized geometry); uncorrected energy = -4.05 eV per atom; SG = No. 194
1.0
4.7785 0.0000 0.0000
-2.3892 4.1383 0.0000
0.0000 0.0000 8.9521
Y In Ag
2 2 4
Cartesian
0.0000 2.7588 2.2380
2.3892 1.3794 6.7141
0.0000 0.0000 0.0000
0.0000 0.0000 4.4761
0.0000 2.7588 5.2920
0.0000 2.7588 8.1362
2.3892 1.3794 0.8159
2.3892 1.3794 3.6602



Record 3
Ta2W11 (PBE-GGA, optimized geometry); calculated formation energy = 0.1881 eV per atom; offset from the most stable computed form = 0 meV/atom; uncorrected energy = -12.60 eV per atom; SG = No. 166
1.0
2.6107 1.5073 9.3809
-2.6107 1.5073 9.3809
0.0000 -3.0146 9.3809
Ta W
2 11
Cartesian
0.0000 0.0000 4.2005
0.0000 0.0000 23.9423
0.0000 0.0000 1.2576
-1.3159 -0.7597 11.8621
0.0000 0.0000 9.3531
0.0000 -1.5195 16.2807
-1.3159 0.7597 16.2807
0.0000 0.0000 14.0714
1.3159 -0.7597 11.8621
0.0000 1.5195 11.8621
0.0000 0.0000 18.7897
1.3159 0.7597 16.2807
0.0000 0.0000 26.8852



Record 4
NdGd (PBE-GGA, optimized geometry); calculated formation energy = 1.7171 eV per atom; offset from the most stable computed form = 1689 meV/atom; uncorrected energy = -2.99 eV per atom; SG = No. 216
1.0
0.0000 3.3978 3.3978
3.3978 0.0000 3.3978
3.3978 3.3978 0.0000
Nd Gd
1 1
Cartesian
0.0000 0.0000 0.0000
1.6989 1.6989 1.6989



Record 5
ErTm2Mg3Al2In (PBE-GGA, optimized geometry); uncorrected energy = -3.47 eV per atom; SG = No. 38
1.0
4.5732 0.0000 0.0000
0.0000 6.3499 3.6598
0.0000 -6.3499 3.6598
Er Tm Mg Al In
1 2 3 2 1
Cartesian
0.0000 0.0000 0.0000
0.0000 -2.7862 4.8176
0.0000 2.7862 4.8176
2.2866 -1.5627 2.3126
2.2866 1.5627 2.3126
2.2866 0.0000 5.0152
2.2866 -4.2290 3.2121
2.2866 4.2290 3.2121
0.0000 0.0000 3.2198



Record 6
HfRe2Te (PBE-GGA, optimized geometry); uncorrected energy = -8.90 eV per atom; SG = No. 216
1.0
0.0000 3.3024 3.3024
3.3024 0.0000 3.3024
3.3024 3.3024 0.0000
Hf Re Te
1 2 1
Cartesian
0.0000 0.0000 0.0000
1.6512 1.6512 1.6512
3.3024 3.3024 3.3024
4.9536 4.9536 4.9536



Record 7
Pm4GeTe3 (PBE-GGA, optimized geometry); uncorrected energy = -5.49 eV per atom; SG = No. 65
1.0
4.4680 -6.2725 0.0000
4.4680 6.2725 0.0000
0.0000 0.0000 4.3956
Pm Ge Te
4 1 3
Cartesian
2.0278 0.0000 2.1978
4.4680 3.3203 0.0000
4.4680 -3.3203 0.0000
6.9083 0.0000 2.1978
0.0000 0.0000 0.0000
2.2340 3.1362 2.1978
2.2340 -3.1362 2.1978
4.4680 0.0000 0.0000



Record 8
TmSiTe (PBE-GGA, optimized geometry); uncorrected energy = -4.41 eV per atom; SG = No. 216
1.0
0.0000 3.4176 3.4176
3.4176 0.0000 3.4176
3.4176 3.4176 0.0000
Tm Si Te
1 1 1
Cartesian
0.0000 0.0000 0.0000
5.1263 5.1263 5.1263
3.4176 3.4176 3.4176